*i*
# TbSmAs2

Crystalline TbSmAs2 at its relaxed geometry (PBE-GGA, Alexandria).

The structure in POSCAR format:
```
TbSmAs2
1.0
4.138 0.000 0.000
2.069 3.584 0.000
2.069 1.195 7.112
Tb As Sm
1 2 1
Direct
0.498 0.498 0.507 Tb
0.084 0.084 0.749 As
0.250 0.250 0.251 As
0.669 0.669 0.993 Sm
```

The space group is R3m (160).

***

*ii*
# TbSmAs2

Crystalline TbSmAs2 at its relaxed geometry (PBE-GGA, Alexandria).

The structure in POSCAR format:
```
TbSmAs2
1.0
4.179 -0.001 -0.004
-2.089 3.620 0.004
-2.085 -1.209 6.817
Tb As Sm
1 2 1
Direct
0.000 0.000 0.000 Tb
0.503 0.252 0.755 As
0.497 0.748 0.245 As
0.000 0.500 0.500 Sm
```

The space group is R-3m (166).

***

Stability summary: most stable *ii*, least stable *i*.

***

*i*
# Sm3TeAs2

Crystalline Sm3TeAs2 at its relaxed geometry (PBE-GGA, Alexandria).

The structure in POSCAR format:
```
Sm3TeAs2
1.0
4.267 0.000 0.000
0.000 6.100 0.000
-2.133 -3.050 6.459
As Sm Te
2 3 1
Direct
0.837 0.837 0.174 As
0.163 0.163 0.826 As
0.500 0.000 0.500 Sm
0.818 0.318 0.136 Sm
0.182 0.682 0.864 Sm
0.500 0.500 0.500 Te
```

The space group is Immm (71).

***

*ii*
# Sm3TeAs2

Crystalline Sm3TeAs2 at its relaxed geometry (PBE-GGA, Alexandria).

The structure in POSCAR format:
```
Sm3TeAs2
1.0
-3.933 4.381 -6.732
-7.501 -1.883 -2.784
-6.698 4.657 1.004
As Sm Te
4 6 2
Direct
0.340 0.447 0.447 As
0.734 0.053 0.053 As
0.266 0.947 0.947 As
0.660 0.553 0.553 As
0.000 0.729 0.271 Sm
0.500 0.500 0.000 Sm
0.000 0.271 0.729 Sm
0.500 0.771 0.229 Sm
0.500 0.000 0.500 Sm
0.500 0.229 0.771 Sm
0.192 0.250 0.250 Te
0.808 0.750 0.750 Te
```

The space group is Imma (74).

***

Stability summary: most stable *i*, least stable *ii*.

***

*i*
# Sm3Te2As

Crystalline Sm3Te2As at its relaxed geometry (PBE-GGA, Alexandria).

The structure in POSCAR format:
```
Sm3Te2As
1.0
4.311 0.000 0.000
0.000 6.155 0.000
-2.156 -3.078 6.691
Te Sm As
2 3 1
Direct
0.173 0.173 0.846 Te
0.827 0.827 0.154 Te
0.500 0.000 0.500 Sm
0.854 0.354 0.208 Sm
0.146 0.646 0.792 Sm
0.500 0.500 0.500 As
```

The space group is Immm (71).

***

*ii*
# Sm3Te2As

Crystalline Sm3Te2As at its relaxed geometry (PBE-GGA, Alexandria).

The structure in POSCAR format:
```
Sm3Te2As
1.0
6.684 -0.339 3.465
2.514 7.118 1.303
0.344 -0.169 7.516
Sm Te As
6 4 2
Direct
0.077 0.774 0.352 Sm
0.279 0.222 0.000 Sm
0.923 0.226 0.648 Sm
0.429 0.774 0.648 Sm
0.571 0.226 0.352 Sm
0.721 0.778 0.000 Sm
0.840 0.500 0.321 Te
0.000 0.000 0.000 Te
0.160 0.500 0.679 Te
0.500 0.500 0.000 Te
0.668 0.000 0.664 As
0.332 0.000 0.336 As
```

The space group is C2/m (12).

***

Stability summary: most stable *ii*, least stable *i*.